Entry from Alexandria via LeMat-Bulk: a relaxed Tl2CrF5 crystal (PBE+U).

The structure in extended XYZ format:
```
8
Lattice="6.365 0.000 0.000 0.000 6.365 0.000 0.000 0.000 3.952" Properties=species:S:1:pos:R:3 pbc="T T T"
Tl 0.000 3.183 0.000
Tl 3.183 0.000 0.000
Cr 0.000 0.000 1.976
F 0.000 0.000 0.000
F 1.370 1.370 1.976
F 1.370 4.995 1.976
F 4.995 1.370 1.976
F 4.995 4.995 1.976
```

Output
- SG = P4/mmm (123)
- relative energy among the computed polymorphs (eV per atom) = 0.0000
- crystal system = tetragonal